Entry 1:
This record from Alexandria describes crystalline Li6Al at its relaxed geometry. The functional is PBE.

Structure (CIF):
```
data_Li6Al
_chemical_formula_sum 'Li6 Al1'
_space_group_name_H-M_alt 'P 1'
_space_group_IT_number 1
_space_group_name_Hall 'P 1'
_cell_length_a 7.2202
_cell_length_b 7.2202
_cell_length_c 7.2202
_cell_angle_alpha 37.64
_cell_angle_beta 37.64
_cell_angle_gamma 37.64
loop_
_atom_site_label
_atom_site_fract_x
_atom_site_fract_y
_atom_site_fract_z
_atom_site_occupancy
Li1 0.0807 0.0807 0.0807 1
Li2 0.2126 0.2126 0.2126 1
Li3 0.3617 0.3617 0.3617 1
Li4 0.6383 0.6383 0.6383 1
Li5 0.7874 0.7874 0.7874 1
Li6 0.9193 0.9193 0.9193 1
Al1 0.5000 0.5000 0.5000 1
```

Values from the calculation:
* ΔE to the lowest computed polymorph: 0 meV/atom
* formation energy: -49.3 meV/atom
* symmetry: No. 166

---

Entry 2:
This record from Alexandria describes crystalline CdTe2Rh at its relaxed geometry. The functional is PBE.

Structure (CIF):
```
data_CdTe2Rh
_chemical_formula_sum 'Cd1 Te2 Rh1'
_space_group_name_H-M_alt 'P 1'
_space_group_IT_number 1
_space_group_name_Hall 'P 1'
_cell_length_a 6.7748
_cell_length_b 6.7748
_cell_length_c 6.7748
_cell_angle_alpha 148.97
_cell_angle_beta 140.33
_cell_angle_gamma 51.20
loop_
_atom_site_label
_atom_site_fract_x
_atom_site_fract_y
_atom_site_fract_z
_atom_site_occupancy
Cd1 0.0000 0.0000 0.0000 1
Te1 0.3387 0.8387 0.5000 1
Te2 0.6613 0.1613 0.5000 1
Rh1 0.5000 0.5000 0.0000 1
```

Values from the calculation:
* ΔE_f (raw): -0.185 eV/atom
* symmetry: No. 71

---

Entry 3:
This record from Alexandria describes crystalline Ac4CoCl5 at its relaxed geometry. The functional is PBE.

Structure (CIF):
```
data_Ac4CoCl5
_chemical_formula_sum 'Ac4 Co1 Cl5'
_space_group_name_H-M_alt 'P 1'
_space_group_IT_number 1
_space_group_name_Hall 'P 1'
_cell_length_a 10.0946
_cell_length_b 10.0946
_cell_length_c 8.6993
_cell_angle_alpha 115.37
_cell_angle_beta 115.37
_cell_angle_gamma 23.91
loop_
_atom_site_label
_atom_site_fract_x
_atom_site_fract_y
_atom_site_fract_z
_atom_site_occupancy
Ac1 0.9999 0.9999 0.2203 1
Ac2 0.0001 0.0001 0.7797 1
Ac3 0.3294 0.3294 0.8298 1
Ac4 0.6706 0.6706 0.1702 1
Co1 0.5000 0.5000 0.0000 1
Cl1 0.1730 0.1730 0.4354 1
Cl2 0.1732 0.1732 0.9093 1
Cl3 0.5000 0.5000 0.5000 1
Cl4 0.8268 0.8268 0.0907 1
Cl5 0.8270 0.8270 0.5646 1
```

Values from the calculation:
* ΔE to the lowest computed polymorph: 0 meV/atom
* ΔE_f (raw): -1.601 eV/atom
* symmetry: No. 12

---

Entry 4:
This record from Alexandria describes crystalline BaSiTc2 at its relaxed geometry. The functional is PBE.

Structure (CIF):
```
data_BaSiTc2
_chemical_formula_sum 'Ba1 Si1 Tc2'
_space_group_name_H-M_alt 'P 1'
_space_group_IT_number 1
_space_group_name_Hall 'P 1'
_cell_length_a 5.5848
_cell_length_b 5.5848
_cell_length_c 5.5848
_cell_angle_alpha 147.85
_cell_angle_beta 119.54
_cell_angle_gamma 70.14
loop_
_atom_site_label
_atom_site_fract_x
_atom_site_fract_y
_atom_site_fract_z
_atom_site_occupancy
Ba1 0.0000 0.0000 0.0000 1
Si1 0.5000 0.5000 0.0000 1
Tc1 0.2959 0.7959 0.5000 1
Tc2 0.7041 0.2041 0.5000 1
```

Values from the calculation:
* ΔE_f (raw): 0.696 eV/atom
* symmetry: No. 71

---

Entry 5:
This record from Alexandria describes crystalline LaCeHoAg at its relaxed geometry. The functional is PBE.

Structure (CIF):
```
data_LaCeHoAg
_chemical_formula_sum 'La1 Ce1 Ho1 Ag1'
_space_group_name_H-M_alt 'P 1'
_space_group_IT_number 1
_space_group_name_Hall 'P 1'
_cell_length_a 5.3764
_cell_length_b 5.3764
_cell_length_c 5.3764
_cell_angle_alpha 60.00
_cell_angle_beta 60.00
_cell_angle_gamma 60.00
loop_
_atom_site_label
_atom_site_fract_x
_atom_site_fract_y
_atom_site_fract_z
_atom_site_occupancy
La1 0.0000 0.0000 0.0000 1
Ce1 0.2500 0.2500 0.2500 1
Ho1 0.5000 0.5000 0.5000 1
Ag1 0.7500 0.7500 0.7500 1
```

Values from the calculation:
* formation energy: 117.8 meV/atom
* symmetry: No. 216

---

Entry 6:
This record from Alexandria describes crystalline Mg2TcNi at its relaxed geometry. The functional is PBE.

Structure (CIF):
```
data_Mg2TcNi
_chemical_formula_sum 'Mg2 Tc1 Ni1'
_space_group_name_H-M_alt 'P 1'
_space_group_IT_number 1
_space_group_name_Hall 'P 1'
_cell_length_a 5.5476
_cell_length_b 5.5476
_cell_length_c 5.5476
_cell_angle_alpha 150.89
_cell_angle_beta 130.59
_cell_angle_gamma 58.38
loop_
_atom_site_label
_atom_site_fract_x
_atom_site_fract_y
_atom_site_fract_z
_atom_site_occupancy
Mg1 0.0000 0.0000 0.0000 1
Mg2 0.7130 0.2130 0.5000 1
Tc1 0.2674 0.7674 0.5000 1
Ni1 0.4806 0.4806 0.0000 1
```

Values from the calculation:
* ΔE to the lowest computed polymorph: 74 meV/atom
* formation energy: 139.6 meV/atom
* symmetry: No. 44

---

Entry 7:
This record from Alexandria describes crystalline Ba6S5Br at its relaxed geometry. The functional is PBE.

Structure (CIF):
```
data_Ba6S5Br
_chemical_formula_sum 'Ba6 S5 Br1'
_space_group_name_H-M_alt 'P 1'
_space_group_IT_number 1
_space_group_name_Hall 'P 1'
_cell_length_a 7.9361
_cell_length_b 7.9361
_cell_length_c 7.9281
_cell_angle_alpha 99.61
_cell_angle_beta 99.61
_cell_angle_gamma 119.98
loop_
_atom_site_label
_atom_site_fract_x
_atom_site_fract_y
_atom_site_fract_z
_atom_site_occupancy
Ba1 0.0642 0.4139 0.7423 1
Ba2 0.2376 0.2376 0.2594 1
Ba3 0.4139 0.0642 0.7423 1
Ba4 0.5861 0.9358 0.2577 1
Ba5 0.7624 0.7624 0.7406 1
Ba6 0.9358 0.5861 0.2577 1
S1 0.0000 0.0000 0.5000 1
S2 0.1671 0.8329 0.0000 1
S3 0.3368 0.6632 0.5000 1
S4 0.6632 0.3368 0.5000 1
S5 0.8329 0.1671 0.0000 1
Br1 0.5000 0.5000 0.0000 1
```

Values from the calculation:
* ΔE_f (raw): -2.023 eV/atom
* symmetry: No. 12

---

Entry 8:
This record from Alexandria describes crystalline CeDyPt4 at its relaxed geometry. The functional is PBE.

Structure (CIF):
```
data_CeDyPt4
_chemical_formula_sum 'Ce1 Dy1 Pt4'
_space_group_name_H-M_alt 'P 1'
_space_group_IT_number 1
_space_group_name_Hall 'P 1'
_cell_length_a 5.4626
_cell_length_b 5.4626
_cell_length_c 5.4626
_cell_angle_alpha 60.00
_cell_angle_beta 60.00
_cell_angle_gamma 60.00
loop_
_atom_site_label
_atom_site_fract_x
_atom_site_fract_y
_atom_site_fract_z
_atom_site_occupancy
Ce1 0.0000 0.0000 0.0000 1
Dy1 0.7500 0.7500 0.7500 1
Pt1 0.3752 0.3752 0.3752 1
Pt2 0.3752 0.3752 0.8743 1
Pt3 0.3752 0.8743 0.3752 1
Pt4 0.8743 0.3752 0.3752 1
```

Values from the calculation:
* formation energy: -1071.9 meV/atom
* symmetry: No. 216

---

Entry 9:
This record from Alexandria describes crystalline ZrNb2Re at its relaxed geometry. The functional is PBE.

Structure (CIF):
```
data_ZrNb2Re
_chemical_formula_sum 'Zr2 Nb4 Re2'
_space_group_name_H-M_alt 'P 1'
_space_group_IT_number 1
_space_group_name_Hall 'P 1'
_cell_length_a 6.0191
_cell_length_b 6.0191
_cell_length_c 6.0191
_cell_angle_alpha 102.66
_cell_angle_beta 102.66
_cell_angle_gamma 124.16
loop_
_atom_site_label
_atom_site_fract_x
_atom_site_fract_y
_atom_site_fract_z
_atom_site_occupancy
Zr1 0.0000 0.0000 0.0000 1
Zr2 0.7500 0.2500 0.5000 1
Nb1 0.1610 0.6250 0.0360 1
Nb2 0.3750 0.4110 0.5360 1
Nb3 0.5890 0.1250 0.9640 1
Nb4 0.8750 0.8390 0.4640 1
Re1 0.2500 0.7500 0.5000 1
Re2 0.5000 0.5000 0.0000 1
```

Values from the calculation:
* ΔE to the lowest computed polymorph: 607 meV/atom
* formation energy: 437.4 meV/atom
* symmetry: No. 122

---

Entry 10:
This record from Alexandria describes crystalline MgCdCl2 at its relaxed geometry. The functional is PBE.

Structure (CIF):
```
data_MgCdCl2
_chemical_formula_sum 'Mg1 Cd1 Cl2'
_space_group_name_H-M_alt 'P 1'
_space_group_IT_number 1
_space_group_name_Hall 'P 1'
_cell_length_a 3.7757
_cell_length_b 4.2382
_cell_length_c 6.1860
_cell_angle_alpha 90.00
_cell_angle_beta 90.00
_cell_angle_gamma 90.00
loop_
_atom_site_label
_atom_site_fract_x
_atom_site_fract_y
_atom_site_fract_z
_atom_site_occupancy
Mg1 0.0000 0.0000 0.0000 1
Cd1 0.5000 0.0000 0.5000 1
Cl1 0.0000 0.5000 0.5000 1
Cl2 0.5000 0.5000 0.0000 1
```

Values from the calculation:
* ΔE to the lowest computed polymorph: 710 meV/atom
* ΔE_f (raw): -0.555 eV/atom
* symmetry: No. 47

---

Entry 11:
This record from Alexandria describes crystalline Na3Sm2PuSe6 at its relaxed geometry. The functional is PBE.

Structure (CIF):
```
data_Na3Sm2PuSe6
_chemical_formula_sum 'Na3 Sm2 Pu1 Se6'
_space_group_name_H-M_alt 'P 1'
_space_group_IT_number 1
_space_group_name_Hall 'P 1'
_cell_length_a 7.3375
_cell_length_b 7.3375
_cell_length_c 7.3934
_cell_angle_alpha 99.52
_cell_angle_beta 99.52
_cell_angle_gamma 119.99
loop_
_atom_site_label
_atom_site_fract_x
_atom_site_fract_y
_atom_site_fract_z
_atom_site_occupancy
Na1 0.0000 0.0000 0.0000 1
Na2 0.3332 0.6668 0.0000 1
Na3 0.6668 0.3332 0.0000 1
Sm1 0.1666 0.8334 0.5000 1
Sm2 0.8334 0.1666 0.5000 1
Pu1 0.5000 0.5000 0.5000 1
Se1 0.0902 0.4223 0.2667 1
Se2 0.2456 0.2456 0.7329 1
Se3 0.4223 0.0902 0.2667 1
Se4 0.5777 0.9098 0.7333 1
Se5 0.7544 0.7544 0.2671 1
Se6 0.9098 0.5777 0.7333 1
```

Values from the calculation:
* ΔE_f (raw): -1.584 eV/atom
* symmetry: No. 12

---

Entry 12:
This record from Alexandria describes crystalline BaGeHPt2 at its relaxed geometry. The functional is PBE.

Structure (CIF):
```
data_BaGeHPt2
_chemical_formula_sum 'Ba2 Ge2 H2 Pt4'
_space_group_name_H-M_alt 'P 1'
_space_group_IT_number 1
_space_group_name_Hall 'P 1'
_cell_length_a 6.2012
_cell_length_b 6.2012
_cell_length_c 7.4790
_cell_angle_alpha 90.00
_cell_angle_beta 90.00
_cell_angle_gamma 141.16
loop_
_atom_site_label
_atom_site_fract_x
_atom_site_fract_y
_atom_site_fract_z
_atom_site_occupancy
Ba1 0.0474 0.9526 0.7500 1
Ba2 0.9526 0.0474 0.2500 1
Ge1 0.2307 0.7693 0.2500 1
Ge2 0.7693 0.2307 0.7500 1
H1 0.5000 0.5000 0.0000 1
H2 0.5000 0.5000 0.5000 1
Pt1 0.3350 0.6650 0.5578 1
Pt2 0.3350 0.6650 0.9422 1
Pt3 0.6650 0.3350 0.0578 1
Pt4 0.6650 0.3350 0.4422 1
```

Values from the calculation:
* symmetry: No. 63

---

Number 1: E -15.6 eV per formula unit, N(E_F) 4.04 states/eV/cell. Number 2: E -15.3 eV per formula unit, N(E_F) 3.34 states/eV/cell. Number 3: E -48.8 eV per formula unit, N(E_F) 3.31 states/eV/cell. Number 4: E -25.3 eV per formula unit, N(E_F) 4.74 states/eV/cell. Number 5: E -17.8 eV per formula unit, N(E_F) 8.41 states/eV/cell. Number 6: E -18.8 eV per formula unit, N(E_F) 3.93 states/eV/cell. Number 7: E -58.1 eV per formula unit, N(E_F) 2.72 states/eV/cell. Number 8: E -41.1 eV per formula unit, N(E_F) 6.48 states/eV/cell. Number 9: E -39.4 eV per formula unit, N(E_F) 4.49 states/eV/cell. Number 10: E -8.4 eV per formula unit, N(E_F) 2.42 states/eV/cell. Number 11: E -67.6 eV per formula unit, N(E_F) 12.86 states/eV/cell. Number 12: E -25.1 eV per formula unit, N(E_F) 5.11 states/eV/cell.